ZnSnPO (PBE-GGA, relaxed); energy above the most stable polymorph in this dataset = 146 kJ/mol of formula units; ρ = 4.8 g cm⁻³; SG = No. 129
1.0
3.0820 -3.0820 0.0000
3.0820 3.0820 0.0000
0.0000 0.0000 8.3813
P Zn O Sn
2 2 2 2
Cartesian
4.6229 0.0000 2.7373
1.5410 0.0000 5.6440
4.6229 0.0000 0.1364
1.5410 0.0000 8.2449
3.0820 -1.5410 0.0000
3.0820 1.5410 0.0000
3.0820 1.5410 4.1906
3.0820 -1.5410 4.1906

CuPd3N5 (PBE-GGA, relaxed); ρ = 6.9 g cm⁻³; calculated total energy = -0.445 Ry/atom; SG = No. 191
1.0
-1.5356 2.4206 -5.0307
4.0975 -4.0894 0.1137
-2.6394 -2.6578 -0.4732
Cu Pd N
1 3 5
Cartesian
0.0000 0.0000 0.0000
-2.0875 -0.1186 -2.7519
-0.0388 -2.1633 -2.6951
0.7290 -3.3736 -0.1798
1.7934 -2.3487 -1.6776
-1.8710 -1.9778 -3.7127
-0.0843 -0.1787 -3.3924
-1.3197 -1.3289 -0.2366
0.0067 -4.1478 -1.9979

NaPtWAu (PBE-GGA, relaxed); energy above the most stable polymorph in this dataset = 24 kJ/mol of formula units; ρ = 15.2 g cm⁻³; total moment = 0.00 μB per cell; SG = No. 216
1.0
0.0000 3.1990 3.1990
3.1990 0.0000 3.1990
3.1990 3.1990 0.0000
Au W Pt Na
1 1 1 1
Cartesian
3.1990 3.1990 3.1990
0.0000 0.0000 0.0000
1.5995 1.5995 1.5995
4.7984 4.7984 4.7984

HoInHgTe3 (PBE-GGA, relaxed); energy above the most stable polymorph in this dataset = 46 kJ/mol of formula units; ρ = 7.3 g cm⁻³; total moment = 0.00 μB per cell; SG = No. 62
1.0
13.0915 0.0000 0.0000
0.0000 4.5135 0.0000
0.0000 0.0000 13.2912
Te Ho Hg In
12 4 4 4
Cartesian
10.0323 0.0000 11.0590
12.7117 0.0000 2.0649
7.6271 0.0000 0.8773
6.1660 0.0000 4.5807
3.0592 2.2567 2.2322
6.9255 2.2567 8.7105
9.6049 2.2567 4.4134
3.4866 0.0000 8.8778
5.4644 2.2567 12.4139
0.3798 2.2567 11.2263
12.0102 2.2567 7.5229
1.0813 0.0000 5.7683
0.4648 0.0000 9.0313
6.0809 2.2567 2.3857
12.6267 2.2567 4.2599
7.0106 0.0000 10.9055
9.8733 0.0000 2.5743
9.7640 2.2567 9.2199
3.2182 2.2567 10.7169
3.3275 0.0000 4.0713
8.7376 0.0000 6.6938
4.3538 2.2567 6.5974
10.8996 2.2567 0.0482
2.1919 0.0000 13.2430

BaPuSn (PBE-GGA, relaxed); energy above the most stable polymorph in this dataset = 0 kJ/mol of formula units; ρ = 6.7 g cm⁻³; total moment = 5.97 μB per cell; SG = No. 216
1.0
0.0000 3.9669 3.9669
3.9669 0.0000 3.9669
3.9669 3.9669 0.0000
Pu Ba Sn
1 1 1
Cartesian
5.9504 5.9504 5.9504
1.9835 1.9835 1.9835
0.0000 0.0000 0.0000

SrPdSe (PBE-GGA, relaxed); ρ = 5.9 g cm⁻³; calculated total energy = -0.335 Ry/atom; SG = No. 198
1.0
-3.7704 -0.7533 -5.5351
0.8312 -6.6792 0.3428
-5.5239 -0.4909 3.8296
Sr Pd Se
4 4 4
Cartesian
-6.9339 -3.7926 0.6063
-0.5467 -0.5118 -0.0880
-5.4626 -4.6894 -3.3166
-3.9829 -6.8528 0.0728
-4.9125 -4.3564 3.3174
-6.6022 -1.4849 -2.8848
-1.8212 -6.6440 -2.5799
-3.5903 -3.3613 -0.5781
-4.1302 -2.0105 -2.6572
-6.7704 -6.3386 -1.0902
-4.3716 -2.4980 1.6765
-1.6541 -4.9997 -0.6545

GdY2Ge3PdPt2 (PBE-GGA, relaxed); ρ = 9.7 g cm⁻³; calculated total energy = -0.472 Ry/atom; total moment = 0.00 μB per cell; SG = No. 38
1.0
3.9242 0.0000 0.0000
0.0000 6.2947 3.6281
0.0000 -6.2947 3.6281
Pt Ge Pd Y Gd
2 3 1 2 1
Cartesian
1.9621 2.1040 3.6285
1.9621 -2.1040 3.6285
1.9621 -4.6825 4.5520
1.9621 4.6825 4.5520
1.9621 0.0000 5.4051
0.0000 0.0000 7.2511
0.0000 3.7443 2.1590
0.0000 -3.7443 2.1590
0.0000 0.0000 2.9459

Fe2Mo4N (PBE-GGA, relaxed); ρ = 9.5 g cm⁻³; calculated total energy = -0.724 Ry/atom; total moment = 0.24 μB per cell; SG = No. 227
1.0
0.6931 1.6405 7.7650
6.5124 -0.5109 -4.5601
-4.9885 6.1524 -0.8545
Mo N Fe
16 4 8
Cartesian
1.1102 5.5963 -3.3248
-2.6318 6.5415 2.4676
2.9426 2.5582 1.2402
1.7783 4.5274 -0.6431
2.0448 5.1581 2.3424
0.7620 2.8208 -2.7073
4.8488 0.7405 -0.1172
-2.4942 3.0762 -0.4272
5.1153 1.3712 2.8683
-0.7256 4.7238 1.1102
-2.1477 3.8964 3.4552
-2.8983 5.9108 -0.5180
0.1722 2.1239 0.0080
0.4387 2.7546 2.9935
3.2562 -0.2554 -2.2801
1.1068 1.6857 5.6752
1.1085 3.6410 1.1752
0.0000 0.0000 0.0000
0.3466 0.8202 3.8825
3.6028 0.5648 1.6024
2.9850 2.9663 3.9307
-0.2964 5.4318 3.7027
-2.3780 5.5951 5.1603
2.5135 1.8501 -1.3523
4.5950 1.6869 -2.8099
-0.7835 3.6286 5.4334
3.0006 3.6534 -3.0830
-0.7680 4.3157 -1.5803

NbCdGa2 (PBE-GGA, relaxed); ρ = 7.7 g cm⁻³; calculated total energy = -0.284 Ry/atom; total moment = 1.68 μB per cell; SG = No. 216
1.0
0.0000 3.3405 3.3405
3.3405 0.0000 3.3405
3.3405 3.3405 0.0000
Cd Nb Ga
1 1 2
Cartesian
3.3405 3.3405 3.3405
5.0108 5.0108 5.0108
0.0000 0.0000 0.0000
1.6703 1.6703 1.6703

Be2AgTe (PBE-GGA, relaxed); ρ = 6.0 g cm⁻³; calculated total energy = -0.184 Ry/atom; SG = No. 216
1.0
0.6949 -1.4531 4.3274
-0.4771 2.9409 3.5276
-3.5726 -0.4262 2.8941
Be Te Ag
2 1 1
Cartesian
-0.8387 0.2654 2.6872
0.0000 0.0000 0.0000
-2.5161 0.7963 8.0617
-1.6774 0.5308 5.3745

Co2Mo2Pb3 (PBE-GGA, relaxed); ρ = 10.6 g cm⁻³; calculated total energy = -0.442 Ry/atom; total moment = 0.30 μB per cell; SG = No. 160
1.0
2.6320 -8.6443 -5.0787
2.5852 -9.9650 -1.2082
-0.8968 -9.7700 -3.3446
Pb Co Mo
3 2 2
Cartesian
1.8191 -11.9489 -4.0553
2.7073 -17.7831 -6.0353
3.5560 -23.3579 -7.9273
0.9680 -6.3586 -2.1580
3.0877 -20.2819 -6.8834
0.1221 -0.8020 -0.2722
2.3213 -15.2479 -5.1749

Hf2ZrP4Pd4 (PBE-GGA, relaxed); ρ = 8.9 g cm⁻³; calculated total energy = -0.543 Ry/atom; total moment = 0.01 μB per cell; SG = No. 6
1.0
-6.1332 1.2220 1.7827
0.0113 -3.1199 2.1775
2.5736 4.0433 5.7798
Pd P Hf Zr
4 4 2 1
Cartesian
0.2432 4.2213 6.0470
0.2538 0.4302 3.9390
-3.8113 -0.5346 2.5776
-3.7854 3.3423 4.8084
-2.4548 4.4830 6.4359
-1.1536 -0.7450 2.2624
0.0307 2.8484 4.0810
-3.6698 0.8790 4.6023
-1.5174 1.8748 6.0179
-5.4843 1.8882 2.7339
-2.0338 1.8561 2.6699

ThTl2Cd (PBE-GGA, relaxed); ρ = 11.5 g cm⁻³; calculated total energy = -0.252 Ry/atom; total moment = 0.00 μB per cell; SG = No. 123
1.0
4.8251 0.0000 0.0000
0.0000 4.8251 0.0000
0.0000 0.0000 4.6825
Th Tl Cd
1 2 1
Cartesian
2.4125 2.4125 2.3412
0.0000 2.4125 0.0000
2.4125 0.0000 0.0000
0.0000 0.0000 2.3412

FeSiIrPd (PBE-GGA, relaxed); energy above the most stable polymorph in this dataset = 0 kJ/mol of formula units; ρ = 11.7 g cm⁻³; total moment = 2.58 μB per cell; SG = No. 216
1.0
3.4410 -0.8886 2.3270
-0.0077 0.7608 4.1792
-0.0727 -3.2383 2.7482
Si Pd Fe Ir
1 1 1 1
Cartesian
0.0000 0.0000 0.0000
1.6803 -1.6831 4.6272
2.5205 -2.5246 6.9408
0.8402 -0.8415 2.3136

SnIr10 (PBE-GGA, relaxed); ρ = 12.4 g cm⁻³; calculated total energy = -0.614 Ry/atom; total moment = 0.00 μB per cell; SG = No. 12
1.0
4.3072 -1.9391 0.0000
4.3072 1.9391 0.0000
-0.0230 0.0000 32.5949
Ir Sn
20 2
Cartesian
1.2901 0.0000 0.4304
8.1741 0.0000 5.6273
2.9858 0.0000 27.8278
0.4173 0.0000 26.9676
5.6057 0.0000 4.7671
3.0202 0.0000 3.8987
1.2798 0.0000 24.3905
2.1585 0.0000 6.5171
0.4261 0.0000 3.0341
4.6993 0.0000 7.3308
8.1653 0.0000 29.5608
3.8727 0.0000 1.3015
7.3116 0.0000 8.2043
4.7187 0.0000 31.2934
3.8921 0.0000 25.2641
2.1377 0.0000 30.4253
7.3014 0.0000 32.1645
6.4537 0.0000 2.1696
6.4329 0.0000 26.0779
5.5712 0.0000 28.6962
1.2907 0.0000 9.2892
7.3007 0.0000 23.3057

GaReO3 (PBE-GGA, relaxed); ρ = 9.8 g cm⁻³; calculated total energy = -0.536 Ry/atom; total moment = 1.15 μB per cell; SG = No. 148
1.0
2.9545 0.5102 -3.7623
0.9191 -3.7552 -2.8633
-2.7232 0.2064 -5.1864
Re Ga O
2 2 6
Cartesian
1.9340 -2.6226 -8.0645
-0.7836 -0.4159 -3.7476
-1.1936 -0.9517 -7.2181
2.3440 -2.0868 -4.5939
1.2916 -0.6088 -4.0404
0.1509 0.3610 -6.9583
0.9995 -3.3995 -4.8538
-1.5653 -1.4363 -5.4221
-0.1412 -2.4297 -7.7716
2.7157 -1.6023 -6.3899

Tb3Ge7 (PBE-GGA, relaxed); ρ = 7.8 g cm⁻³; calculated total energy = -0.380 Ry/atom; total moment = 0.00 μB per cell; SG = No. 65
1.0
-0.2572 2.5185 -12.1158
-3.2570 -0.4464 11.9329
2.0715 3.5748 0.6991
Tb Ge
3 7
Cartesian
-2.7078 0.0964 7.5302
0.0000 0.0000 0.0000
-0.8064 1.9757 -7.7130
-2.0362 0.7602 2.1459
-1.4780 1.3119 -2.3288
-0.0749 3.4623 -4.9237
-0.7213 2.8235 0.2581
-1.9407 1.6183 10.0339
-1.3677 2.1846 5.4399
0.4981 4.0287 -9.5177